Run one
VASP calculation (PBE) on crystalline LaGaPCl2 at its relaxed geometry.

Unit cell a=5.530 b=5.530 c=5.728 alpha=90.00 beta=90.00 gamma=90.00
Positions (direct):
La: 0.000 0.000 0.000
Ga: 0.500 0.500 0.500
P: 0.000 0.000 0.500
Cl: 0.000 0.500 0.000
Cl: 0.500 0.000 0.000

Calculated values
Spin magnetization in μB per cell: 0.69
DOS(E_F) in states/eV/cell: 2.77

Run two
VASP calculation (PBE) on crystalline LaGaPCl2 at its relaxed geometry.

Unit cell a=4.903 b=4.903 c=4.945 alpha=90.00 beta=90.00 gamma=90.00
Positions (direct):
La: 0.000 0.000 0.000
Ga: 0.500 0.500 0.500
P: 0.500 0.500 0.000
Cl: 0.000 0.500 0.500
Cl: 0.500 0.000 0.500

Calculated values
Spin magnetization in μB per cell: 0.29
DOS(E_F) in states/eV/cell: 3.99

run one is the most stable structure; the next one sits 18 meV per atom above it.

Run one
VASP calculation (PBE) on crystalline LaGaS2Cl at its relaxed geometry.

Unit cell a=5.492 b=5.492 c=5.613 alpha=90.00 beta=90.00 gamma=90.00
Positions (direct):
La: 0.000 0.000 0.000
Ga: 0.500 0.500 0.500
S: 0.000 0.500 0.000
S: 0.500 0.000 0.000
Cl: 0.000 0.000 0.500

Calculated values
Spin magnetization in μB per cell: 0.01
DOS(E_F) in states/eV/cell: 5.09

Run two
VASP calculation (PBE) on crystalline LaGaS2Cl at its relaxed geometry.

Unit cell a=4.865 b=4.865 c=4.733 alpha=90.00 beta=90.00 gamma=90.00
Positions (direct):
La: 0.000 0.000 0.000
Ga: 0.500 0.500 0.500
S: 0.000 0.500 0.500
S: 0.500 0.000 0.500
Cl: 0.500 0.500 0.000

Calculated values
Spin magnetization in μB per cell: 0.01
DOS(E_F) in states/eV/cell: 4.11

run two is the most stable structure; the next one sits 168 meV per atom above it.

Run one
VASP calculation (PBE) on crystalline LiGa2Cl at its relaxed geometry.

Unit cell a=5.056 b=5.056 c=5.056 alpha=60.00 beta=60.00 gamma=60.00
Positions (direct):
Li: 0.000 0.000 0.000
Ga: 0.250 0.250 0.250
Ga: 0.750 0.750 0.750
Cl: 0.500 0.500 0.500

Calculated values
Spin magnetization in μB per cell: 0.00
DOS(E_F) in states/eV/cell: 2.09

Run two
VASP calculation (PBE) on crystalline LiGa2Cl at its relaxed geometry.

Unit cell a=6.569 b=6.569 c=6.569 alpha=98.04 beta=98.04 gamma=136.07
Positions (direct):
Li: 0.000 0.000 0.000
Li: 0.750 0.250 0.500
Ga: 0.082 0.625 0.957
Ga: 0.375 0.332 0.457
Ga: 0.668 0.125 0.043
Ga: 0.875 0.918 0.543
Cl: 0.250 0.750 0.500
Cl: 0.500 0.500 0.000

Calculated values
Spin magnetization in μB per cell: 0.00
DOS(E_F) in states/eV/cell: 5.00

run two is the most stable structure; the next one sits 235 meV per atom above it.

Run one
VASP calculation (PBE) on crystalline Li2GaCl4 at its relaxed geometry.

Unit cell a=7.562 b=7.562 c=7.562 alpha=140.93 beta=140.93 gamma=56.44
Positions (direct):
Li: 0.139 0.139 0.000
Li: 0.861 0.861 0.000
Ga: 0.500 0.500 0.000
Cl: 0.000 0.500 0.500
Cl: 0.309 0.309 0.000
Cl: 0.500 0.000 0.500
Cl: 0.691 0.691 0.000

Calculated values
Spin magnetization in μB per cell: 0.00
DOS(E_F) in states/eV/cell: 1.93

Run two
VASP calculation (PBE) on crystalline Li2GaCl4 at its relaxed geometry.

Unit cell a=6.937 b=6.937 c=6.937 alpha=131.67 beta=131.67 gamma=70.74
Positions (direct):
Li: 0.250 0.750 0.500
Li: 0.750 0.250 0.500
Ga: 0.000 0.000 0.000
Cl: 0.115 0.621 0.000
Cl: 0.379 0.379 0.494
Cl: 0.621 0.115 0.000
Cl: 0.885 0.885 0.506

Calculated values
Spin magnetization in μB per cell: 0.99
DOS(E_F) in states/eV/cell: 1.86

run two is the most stable structure; the next one sits 132 meV per atom above it.

Run one
VASP calculation (PBE) on crystalline LiGaSCl2 at its relaxed geometry.

Unit cell a=5.023 b=5.023 c=4.607 alpha=90.00 beta=90.00 gamma=90.00
Positions (direct):
Li: 0.000 0.000 0.000
Ga: 0.500 0.500 0.500
S: 0.500 0.500 0.000
Cl: 0.000 0.500 0.500
Cl: 0.500 0.000 0.500

Calculated values
Spin magnetization in μB per cell: 0.00
DOS(E_F) in states/eV/cell: 2.76

Run two
VASP calculation (PBE) on crystalline LiGaSCl2 at its relaxed geometry.

Unit cell a=4.951 b=4.951 c=4.696 alpha=90.00 beta=90.00 gamma=90.00
Positions (direct):
Li: 0.000 0.000 0.000
Ga: 0.500 0.500 0.500
S: 0.000 0.000 0.500
Cl: 0.000 0.500 0.000
Cl: 0.500 0.000 0.000

Calculated values
Spin magnetization in μB per cell: 2.01
DOS(E_F) in states/eV/cell: 2.26

run one is the most stable structure; the next one sits 359 meV per atom above it.

Run one
VASP calculation (PBE) on crystalline Mg2Ga2Cl at its relaxed geometry.

Unit cell a=8.237 b=8.237 c=8.237 alpha=153.72 beta=153.72 gamma=37.51
Positions (direct):
Mg: 0.111 0.111 0.000
Mg: 0.889 0.889 0.000
Ga: 0.250 0.750 0.500
Ga: 0.750 0.250 0.500
Cl: 0.500 0.500 0.000

Calculated values
Spin magnetization in μB per cell: 0.00
DOS(E_F) in states/eV/cell: 2.50

Run two
VASP calculation (PBE) on crystalline Mg2Ga2Cl at its relaxed geometry.

Unit cell a=7.965 b=7.965 c=3.352 alpha=90.00 beta=90.00 gamma=90.00
Positions (direct):
Mg: 0.192 0.308 0.000
Mg: 0.308 0.808 0.000
Mg: 0.692 0.192 0.000
Mg: 0.808 0.692 0.000
Ga: 0.110 0.610 0.500
Ga: 0.390 0.110 0.500
Ga: 0.610 0.890 0.500
Ga: 0.890 0.390 0.500
Cl: 0.000 0.000 0.000
Cl: 0.500 0.500 0.000

Calculated values
Spin magnetization in μB per cell: 0.00
DOS(E_F) in states/eV/cell: 2.90

run two is the most stable structure; the next one sits 95 meV per atom above it.

Run one
VASP calculation (PBE) on crystalline MgGa3Cl at its relaxed geometry.

Unit cell a=5.245 b=5.245 c=5.245 alpha=90.00 beta=90.00 gamma=90.00
Positions (direct):
Mg: 0.000 0.000 0.000
Ga: 0.000 0.000 0.500
Ga: 0.000 0.500 0.000
Ga: 0.500 0.000 0.000
Cl: 0.500 0.500 0.500

Calculated values
Spin magnetization in μB per cell: 0.00
DOS(E_F) in states/eV/cell: 2.78

Run two
VASP calculation (PBE) on crystalline MgGa3Cl at its relaxed geometry.

Unit cell a=5.274 b=5.274 c=5.274 alpha=90.00 beta=90.00 gamma=90.00
Positions (direct):
Mg: 0.000 0.000 0.000
Ga: 0.000 0.500 0.500
Ga: 0.500 0.000 0.500
Ga: 0.500 0.500 0.000
Cl: 0.500 0.500 0.500

Calculated values
Spin magnetization in μB per cell: 0.00
DOS(E_F) in states/eV/cell: 2.35

run one is the most stable structure; the next one sits 34 meV per atom above it.

Run one
VASP calculation (PBE) on crystalline MgGaCl2 at its relaxed geometry.

Unit cell a=6.535 b=6.535 c=6.535 alpha=106.75 beta=106.75 gamma=115.07
Positions (direct):
Mg: 0.000 0.000 0.000
Mg: 0.750 0.250 0.500
Ga: 0.250 0.750 0.500
Ga: 0.500 0.500 0.000
Cl: 0.024 0.625 0.899
Cl: 0.375 0.274 0.399
Cl: 0.726 0.125 0.101
Cl: 0.875 0.976 0.601

Calculated values
Spin magnetization in μB per cell: 0.00
DOS(E_F) in states/eV/cell: 1.78

Run two
VASP calculation (PBE) on crystalline MgGaCl2 at its relaxed geometry.

Unit cell a=5.050 b=5.050 c=5.050 alpha=60.00 beta=60.00 gamma=60.00
Positions (direct):
Mg: 0.000 0.000 0.000
Ga: 0.500 0.500 0.500
Cl: 0.250 0.250 0.250
Cl: 0.750 0.750 0.750

Calculated values
Spin magnetization in μB per cell: 0.00
DOS(E_F) in states/eV/cell: 1.66

run one is the most stable structure; the next one sits 209 meV per atom above it.

Run one
VASP calculation (PBE) on crystalline MgGaCl3 at its relaxed geometry.

Unit cell a=5.061 b=5.061 c=5.061 alpha=90.00 beta=90.00 gamma=90.00
Positions (direct):
Mg: 0.000 0.000 0.000
Ga: 0.500 0.500 0.500
Cl: 0.000 0.500 0.500
Cl: 0.500 0.000 0.500
Cl: 0.500 0.500 0.000

Calculated values
Spin magnetization in μB per cell: 0.83
DOS(E_F) in states/eV/cell: 1.57

Run two
VASP calculation (PBE) on crystalline MgGaCl3 at its relaxed geometry.

Unit cell a=8.510 b=3.731 c=8.932 alpha=90.00 beta=104.80 gamma=90.00
Positions (direct):
Mg: 0.126 0.250 0.169
Mg: 0.874 0.750 0.831
Ga: 0.319 0.250 0.595
Ga: 0.681 0.750 0.405
Cl: 0.076 0.750 0.340
Cl: 0.169 0.750 0.988
Cl: 0.422 0.250 0.317
Cl: 0.578 0.750 0.683
Cl: 0.831 0.250 0.012
Cl: 0.924 0.250 0.660

Calculated values
Spin magnetization in μB per cell: 0.00
DOS(E_F) in states/eV/cell: 0.00

run two is the most stable structure; the next one sits 729 meV per atom above it.

Run one
VASP calculation (PBE) on crystalline MgGaSCl2 at its relaxed geometry.

Unit cell a=4.921 b=4.921 c=5.059 alpha=90.00 beta=90.00 gamma=90.00
Positions (direct):
Mg: 0.000 0.000 0.000
Ga: 0.500 0.500 0.500
S: 0.000 0.000 0.500
Cl: 0.000 0.500 0.000
Cl: 0.500 0.000 0.000

Calculated values
Spin magnetization in μB per cell: 1.01
DOS(E_F) in states/eV/cell: 2.78

Run two
VASP calculation (PBE) on crystalline MgGaSCl2 at its relaxed geometry.

Unit cell a=6.044 b=6.044 c=4.402 alpha=90.00 beta=90.00 gamma=90.00
Positions (direct):
Mg: 0.000 0.000 0.000
Ga: 0.500 0.500 0.000
S: 0.000 0.000 0.500
Cl: 0.000 0.500 0.500
Cl: 0.500 0.000 0.500

Calculated values
Spin magnetization in μB per cell: 0.00
DOS(E_F) in states/eV/cell: 3.32

run one is the most stable structure; the next one sits 571 meV per atom above it.

Run one
VASP calculation (PBE) on crystalline MnGaCl4 at its relaxed geometry.

Unit cell a=5.897 b=5.897 c=11.213 alpha=90.00 beta=90.00 gamma=90.00
Positions (direct):
Mn: 0.000 0.000 0.000
Mn: 0.000 0.000 0.500
Ga: 0.000 0.500 0.250
Ga: 0.500 0.000 0.750
Cl: 0.218 0.246 0.382
Cl: 0.218 0.754 0.118
Cl: 0.246 0.218 0.882
Cl: 0.246 0.782 0.618
Cl: 0.754 0.218 0.618
Cl: 0.754 0.782 0.882
Cl: 0.782 0.246 0.118
Cl: 0.782 0.754 0.382

Calculated values
Spin magnetization in μB per cell: 8.00
DOS(E_F) in states/eV/cell: 4.37

Run two
VASP calculation (PBE) on crystalline MnGaCl4 at its relaxed geometry.

Unit cell a=6.995 b=6.995 c=6.995 alpha=127.14 beta=127.14 gamma=78.02
Positions (direct):
Mn: 0.000 0.000 0.000
Ga: 0.750 0.250 0.500
Cl: 0.074 0.638 0.957
Cl: 0.362 0.319 0.436
Cl: 0.681 0.117 0.043
Cl: 0.883 0.926 0.564

Calculated values
Spin magnetization in μB per cell: 3.99
DOS(E_F) in states/eV/cell: 2.31

run two is the most stable structure; the next one sits 8 meV per atom above it.

Run one
VASP calculation (PBE) on crystalline MnGaPCl2 at its relaxed geometry.

Unit cell a=4.729 b=4.729 c=5.049 alpha=90.00 beta=90.00 gamma=90.00
Positions (direct):
Mn: 0.000 0.000 0.000
Ga: 0.500 0.500 0.500
P: 0.500 0.500 0.000
Cl: 0.000 0.500 0.500
Cl: 0.500 0.000 0.500

Calculated values
Spin magnetization in μB per cell: 4.67
DOS(E_F) in states/eV/cell: 2.01

Run two
VASP calculation (PBE) on crystalline MnGaPCl2 at its relaxed geometry.

Unit cell a=5.048 b=5.048 c=4.569 alpha=90.00 beta=90.00 gamma=90.00
Positions (direct):
Mn: 0.000 0.000 0.000
Ga: 0.500 0.500 0.500
P: 0.000 0.000 0.500
Cl: 0.000 0.500 0.000
Cl: 0.500 0.000 0.000

Calculated values
Spin magnetization in μB per cell: 2.98
DOS(E_F) in states/eV/cell: 1.57

run two is the most stable structure; the next one sits 371 meV per atom above it.